# 1
Entry from Alexandria via LeMat-Bulk: a geometry-optimized Sm3TlAs structure (GGA-PBE).

Unit cell a=7.862 b=4.593 c=16.308 alpha=90.00 beta=90.00 gamma=90.00
Space group Pnma (No. 62)
One atom of each set of equivalent atoms:
Sm  0.010  0.250  0.102 [4 per cell]
Sm  0.131  0.750  0.448 [4 per cell]
Sm  0.183  0.250  0.724 [4 per cell]
Tl  0.095  0.250  0.308 [4 per cell]
As  0.221  0.750  0.043 [4 per cell]

Results
V   29.4 A^3/atom

=====

# 2
Entry from Alexandria via LeMat-Bulk: a geometry-optimized Fe2RuRh6 structure (GGA-PBE).

Unit cell a=2.698 b=6.310 c=7.726 alpha=103.96 beta=100.00 gamma=90.10
Space group P-1 (No. 2)
One atom of each set of equivalent atoms:
Fe  0.212  0.148  0.425 [2 per cell]
Ru  0.000  0.500  0.000 [1 per cell]
Rh  0.178  0.532  0.357 [2 per cell]
Rh  0.385  0.181  0.774 [2 per cell]
Rh  0.436  0.808  0.871 [2 per cell]

Results
V   14.0 A^3/atom

=====

| no. | E_tot (eV per atom) | calculated formation energy (eV per atom) | total magnetization (μB/cell) |
| --- | --- | --- | --- |
| 1 | -4.9531 | -0.718 | 2.23 |
| 2 | -7.7386 | 0.074 | 5.64 |